No. 1
Sn2Pd2Au (meta-GGA SCAN, PBEsol geometry); Fermi-level density of states = 0.335 states/eV per atom; theoretical density = 11.28 Mg/m³; E_form = -353 meV/atom; space group = P3m1; energy above the lowest structure with this stoichiometry = 0 meV per atom
1.0
-0.382 -1.273 4.228
0.455 -3.036 -3.196
5.565 0.231 0.572
Sn Au Pd
2 1 2
Direct
0.333 0.667 0.737 Sn
0.000 0.000 0.310 Sn
0.667 0.333 0.982 Au
0.667 0.333 0.494 Pd
0.333 0.667 0.227 Pd


No. 2
MgCuHg (meta-GGA SCAN, PBEsol geometry); Fermi-level density of states = 0.302 states/eV per atom; theoretical density = 9.59 Mg/m³; E_form = -141 meV/atom; space group = I4mm
1.0
3.385 0.000 0.000
0.000 3.385 0.000
-1.693 -1.693 4.356
Mg Hg Cu
1 1 1
Direct
0.659 0.659 0.318 Mg
0.338 0.338 0.676 Hg
0.003 0.003 0.006 Cu


No. 3
Ca2CuRh (meta-GGA SCAN, PBEsol geometry); Fermi-level density of states = 0.287 states/eV per atom; theoretical density = 5.10 Mg/m³; E_form = -202 meV/atom; space group = P4/mmm
1.0
3.363 0.000 0.000
0.000 3.363 0.019
0.000 -0.041 7.101
Rh Ca Cu
1 2 1
Direct
0.500 0.500 0.500 Rh
0.000 0.000 0.264 Ca
0.000 0.000 0.736 Ca
0.500 0.500 0.000 Cu


No. 4
Tl3B3Se10 (meta-GGA SCAN, PBEsol geometry); Fermi-level density of states = 0.000 states/eV per atom; theoretical density = 6.07 Mg/m³; space group = P-1; energy relative to the elements, uncorrected = -4.53 eV per formula unit
1.0
7.021 0.062 -0.034
-0.413 8.013 -0.079
-1.269 -3.690 13.989
B Se Tl
6 20 6
Direct
0.891 0.374 0.582 B
0.741 0.284 0.760 B
0.109 0.626 0.418 B
0.644 0.082 0.911 B
0.356 0.918 0.089 B
0.259 0.716 0.240 B
0.213 0.067 0.014 Se
0.530 0.750 0.014 Se
0.526 0.841 0.286 Se
0.154 0.739 0.107 Se
0.146 0.514 0.629 Se
0.476 0.075 0.218 Se
0.065 0.801 0.338 Se
0.854 0.486 0.371 Se
0.474 0.159 0.714 Se
0.699 0.541 0.776 Se
0.787 0.933 0.986 Se
0.470 0.250 0.986 Se
0.935 0.199 0.662 Se
0.854 0.243 0.440 Se
0.301 0.459 0.224 Se
0.524 0.925 0.782 Se
0.352 0.501 0.393 Se
0.648 0.499 0.607 Se
0.146 0.757 0.560 Se
0.846 0.261 0.893 Se
0.676 0.825 0.522 Tl
0.741 0.548 0.154 Tl
0.016 0.872 0.792 Tl
0.984 0.128 0.208 Tl
0.259 0.452 0.846 Tl
0.324 0.175 0.478 Tl


No. 5
La2Cu2O5 (meta-GGA SCAN, PBEsol geometry); Fermi-level density of states = 0.065 states/eV per atom; theoretical density = 7.12 Mg/m³; space group = P-1; energy above the lowest structure with this stoichiometry = 14 meV per atom; energy relative to the elements, uncorrected = -21.75 eV per formula unit
1.0
3.721 -0.013 0.000
-1.868 6.886 0.013
-1.628 -3.000 13.246
Cu La O
6 6 15
Direct
0.710 0.482 0.922 Cu
0.290 0.518 0.078 Cu
0.441 0.514 0.362 Cu
0.818 0.870 0.059 Cu
0.559 0.486 0.638 Cu
0.182 0.130 0.941 Cu
0.930 0.193 0.731 La
0.290 0.746 0.805 La
0.850 0.225 0.463 La
0.150 0.775 0.537 La
0.710 0.254 0.195 La
0.070 0.807 0.269 La
0.943 0.517 0.362 O
0.411 0.091 0.824 O
0.726 0.840 0.674 O
0.057 0.483 0.638 O
0.906 0.839 0.923 O
0.825 0.588 0.072 O
0.651 0.872 0.418 O
0.589 0.909 0.176 O
0.373 0.524 0.221 O
0.274 0.160 0.326 O
0.349 0.128 0.582 O
0.094 0.161 0.077 O
0.500 0.500 0.500 O
0.627 0.476 0.779 O
0.175 0.412 0.928 O


No. 6
Er2Sc3Si4 (meta-GGA SCAN, PBEsol geometry); Fermi-level density of states = 0.760 states/eV per atom; theoretical density = 5.52 Mg/m³; space group = Pnma; energy relative to the elements, uncorrected = -7.72 eV per formula unit
1.0
-6.193 -2.702 -1.771
0.028 -4.035 6.058
-6.362 10.140 6.783
Si Er Sc
16 8 12
Direct
0.159 0.465 0.039 Si
0.786 0.630 0.250 Si
0.714 0.130 0.750 Si
0.341 0.965 0.961 Si
0.841 0.535 0.961 Si
0.659 0.035 0.039 Si
0.286 0.870 0.250 Si
0.967 0.888 0.750 Si
0.467 0.612 0.750 Si
0.841 0.535 0.539 Si
0.033 0.112 0.250 Si
0.659 0.035 0.461 Si
0.533 0.388 0.250 Si
0.214 0.370 0.750 Si
0.159 0.465 0.461 Si
0.341 0.965 0.539 Si
0.989 0.824 0.404 Er
0.489 0.676 0.404 Er
0.511 0.324 0.904 Er
0.011 0.176 0.596 Er
0.489 0.676 0.096 Er
0.511 0.324 0.596 Er
0.011 0.176 0.904 Er
0.989 0.824 0.096 Er
0.331 0.177 0.126 Sc
0.337 0.004 0.750 Sc
0.669 0.823 0.626 Sc
0.837 0.496 0.750 Sc
0.169 0.677 0.626 Sc
0.669 0.823 0.874 Sc
0.663 0.996 0.250 Sc
0.831 0.323 0.374 Sc
0.169 0.677 0.874 Sc
0.331 0.177 0.374 Sc
0.831 0.323 0.126 Sc
0.163 0.504 0.250 Sc


No. 7
CdGeBr2 (meta-GGA SCAN, PBEsol geometry); theoretical density = 4.55 Mg/m³; space group = R-3m; energy relative to the elements, uncorrected = -0.79 eV per formula unit
1.0
3.798 0.000 0.000
1.899 3.289 0.000
1.899 1.096 10.084
Ge Br Cd
1 2 1
Direct
0.500 0.500 0.500 Ge
0.890 0.890 0.330 Br
0.110 0.110 0.670 Br
0.000 0.000 0.000 Cd


No. 8
BaFeAu (meta-GGA SCAN, PBEsol geometry); Fermi-level density of states = 0.492 states/eV per atom; theoretical density = 6.74 Mg/m³; E_form = 649 meV/atom; space group = F-43m
1.0
5.142 0.000 0.000
2.571 4.453 0.000
2.571 1.484 4.198
Au Fe Ba
1 1 1
Direct
0.500 0.500 0.500 Au
0.000 0.000 0.000 Fe
0.250 0.250 0.250 Ba


Look up the theoretical density of the sixth one. 5.52 Mg/m³


What is the formula in the seventh record? CdGeBr2